A plane-wave DFT calculation with PBE was carried out for a relaxed structure of KAlSb2.

Cell: 3.9531 3.9515 7.4535 Å, 90.00 90.00 90.00°
Last column: nearest neighbours and their distance in Å.
Fractional positions:
K: 0.5000 0.5000 0.7500  8 Sb 3.64, 2 Al 3.73, 4 K 3.95
Al: 0.5000 0.5000 0.2500  8 Sb 3.12
Sb: 0.0000 0.0000 0.0624  1 Sb 2.80, 4 Al 3.12
Sb: 0.0000 0.0000 0.4376  1 Sb 2.80, 4 Al 3.12

Properties
SG: P4/mmm, No. 123
volume: 116 Å³/cell
density of states at the Fermi level: 0.460 states/eV per atom
total magnetization: 0.00 μB per atom

=====

A plane-wave DFT calculation with PBE was carried out for a relaxed structure of KAlSb2.

Cell: 9.4806 9.4806 9.4806 Å, 23.34 23.34 23.34°
Last column: nearest neighbours and their distance in Å.
Fractional positions:
Sb: 0.5189 0.5189 0.5189  3 Al 2.84
Sb: 0.9811 0.9811 0.9811  3 Al 2.84
Al: 0.2500 0.2500 0.2500  6 Sb 2.84
K: 0.7500 0.7500 0.7500  6 Sb 3.59, 6 K 3.84

Properties
SG: R-3m, No. 166
volume: 117 Å³/cell
density of states at the Fermi level: 0.355 states/eV per atom
total magnetization: 0.00 μB per atom

=====

A plane-wave DFT calculation with PBE was carried out for a relaxed structure of K2AlSb2.

Cell: 7.6298 7.6298 5.7210 Å, 90.00 90.00 90.00°
Last column: nearest neighbours and their distance in Å.
Fractional positions:
Al: 0.0000 0.0000 0.0000  4 Sb 2.93
Sb: 0.3564 0.8564 0.0000  2 Al 2.93, 1 Sb 3.10
K: 0.6663 0.8337 0.5000  6 Sb 3.52-3.72, 1 K 3.59
Sb: 0.1436 0.3564 0.0000  2 Al 2.93, 1 Sb 3.10
K: 0.8337 0.3337 0.5000  6 Sb 3.52-3.72, 1 K 3.59
K: 0.1663 0.6663 0.5000  6 Sb 3.52-3.72, 1 K 3.59
Sb: 0.8564 0.6436 0.0000  2 Al 2.93, 1 Sb 3.10
K: 0.3337 0.1663 0.5000  6 Sb 3.52-3.72, 1 K 3.59
Sb: 0.6436 0.1436 0.0000  2 Al 2.93, 1 Sb 3.10
Al: 0.5000 0.5000 0.0000  4 Sb 2.93

Properties
SG: P4/mbm, No. 127
volume: 333 Å³/cell
relative energy among the computed polymorphs: 0.334 eV/f.u.
density of states at the Fermi level: 0.452 states/eV per atom
total magnetization: 0.00 μB per atom

=====

A plane-wave DFT calculation with PBE was carried out for a relaxed structure of KAlSb2.

Cell: 4.0807 4.1427 7.5576 Å, 90.00 90.00 90.00°
Last column: nearest neighbours and their distance in Å.
Fractional positions:
Al: 0.0000 0.0000 0.4361  1 Sb 2.71
Sb: 0.5000 0.5000 0.2426  4 Sb 3.16, 4 Al 3.25
Sb: 0.0000 0.0000 0.0779  1 Al 2.71
K: 0.5000 0.5000 0.7433  4 Al 3.72, 6 Sb 3.77-3.85, 4 K 4.08-4.14

Properties
SG: Pmm2, No. 25
volume: 128 Å³/cell
density of states at the Fermi level: 0.349 states/eV per atom
total magnetization: 0.00 μB per atom

=====

A plane-wave DFT calculation with PBE was carried out for a relaxed structure of K2AlSb.

Cell: 5.4543 4.7916 4.7916 Å, 90.00 90.00 90.00°
Last column: nearest neighbours and their distance in Å.
Fractional positions:
K: 0.0000 0.0000 0.0000  4 K 3.39, 4 Sb 3.63, 4 Al 3.63
Al: 0.5000 0.0000 0.5000  4 Sb 3.39, 8 K 3.63
K: 0.0000 0.5000 0.5000  4 K 3.39, 4 Al 3.63, 4 Sb 3.63
Sb: 0.5000 0.5000 0.0000  4 Al 3.39, 8 K 3.63

Properties
SG: P4/mmm, No. 123
volume: 125 Å³/cell
relative energy among the computed polymorphs: 1.084 eV/f.u.
density of states at the Fermi level: 0.674 states/eV per atom
total magnetization: 0.19 μB per atom

=====

A plane-wave DFT calculation with PBE was carried out for a relaxed structure of K2AlSb.

Cell: 6.4416 6.4416 6.4416 Å, 136.76 136.75 62.82°
Last column: nearest neighbours and their distance in Å.
Fractional positions:
K: 0.9998 0.9998 0.0000  4 K 3.36, 4 Sb 3.63, 4 Al 3.63
Al: 0.2500 0.7500 0.5000  4 Sb 3.36, 8 K 3.63
Sb: 0.7500 0.2500 0.5000  4 Al 3.36, 8 K 3.63
K: 0.5002 0.5002 0.0000  4 K 3.36, 4 Sb 3.63, 4 Al 3.63

Properties
SG: I4/mmm, No. 139
volume: 124 Å³/cell
relative energy among the computed polymorphs: 1.086 eV/f.u.
density of states at the Fermi level: 0.407 states/eV per atom
total magnetization: 0.24 μB per atom

=====

In order of appearance, E_tot = -3.332; -3.365; -3.042; -3.265; -2.452; -2.451 eV per atom.
In order of appearance, energy relative to the elements, uncorrected = -0.0609; -0.0941; -0.2054; 0.0061; 0.0633; 0.0638 eV per atom.